1.
Here is crystalline YMgZn2N at its relaxed geometry from the Alexandria database. Energies are from PBE.

Cell lengths 5.8267, 5.8267, 4.2073 Å; angles 90.00, 90.00, 90.00 degrees
Element x y z (fractional)
1 Y 0.0000 0.0000 0.0000
2 Mg 0.5000 0.5000 0.5000
3 Zn 0.0000 0.5000 0.0000
4 Zn 0.5000 0.0000 0.0000
5 N 0.0000 0.0000 0.5000

Values from the calculation:
**VASP energy**: -3.211 eV per atom
**Raw formation energy**: 13.27 kcal/mol of atoms
**Magnetization**: 0.000 μB per cell

---

2.
Here is crystalline CsBeAs at its relaxed geometry from the Alexandria database. Energies are from PBE.

Cell lengths 3.5083, 3.5083, 12.9077 Å; angles 90.00, 90.00, 90.00 degrees
Element x y z (fractional)
1 Cs 0.0000 0.0000 0.0000
2 Cs 0.5000 0.5000 0.5000
3 Be 0.0000 0.0000 0.2478
4 Be 0.5000 0.5000 0.7478
5 As 0.0000 0.0000 0.7290
6 As 0.5000 0.5000 0.2290

Values from the calculation:
**VASP energy**: -2.838 eV per atom
**DFT formation energy**: 0.238 eV per atom
**Magnetization**: 0.000 μB per cell

---

3.
Here is crystalline RbCaP2S at its relaxed geometry from the Alexandria database. Energies are from PBE.

Cell lengths 5.4485, 5.4485, 5.3745 Å; angles 90.00, 90.00, 90.00 degrees
Element x y z (fractional)
1 Rb 0.0000 0.0000 0.0000
2 Ca 0.5000 0.5000 0.5000
3 P 0.0000 0.5000 0.5000
4 P 0.5000 0.0000 0.5000
5 S 0.5000 0.5000 0.0000

Values from the calculation:
**VASP energy**: -3.416 eV per atom
**Raw formation energy**: 3.86 kcal/mol of atoms
**Magnetization**: 1.420 μB per cell

---

4.
Here is crystalline KAlF4 at its relaxed geometry from the Alexandria database. Energies are from PBE.

Cell lengths 6.5145, 7.3544, 7.4855 Å; angles 90.00, 106.77, 90.00 degrees
Element x y z (fractional)
1 K 0.0422 0.2500 0.1355
2 K 0.0461 0.2500 0.6361
3 K 0.9539 0.7500 0.3639
4 K 0.9578 0.7500 0.8645
5 Al 0.5000 0.0000 0.0000
6 Al 0.5000 0.0000 0.5000
7 Al 0.5000 0.5000 0.0000
8 Al 0.5000 0.5000 0.5000
9 F 0.2178 0.0364 0.4278
10 F 0.2183 0.0378 0.9309
11 F 0.2183 0.4622 0.9309
12 F 0.2178 0.4636 0.4278
13 F 0.4483 0.7500 0.9801
14 F 0.4503 0.7500 0.4944
15 F 0.4989 0.0075 0.7497
16 F 0.4989 0.4925 0.7497
17 F 0.5011 0.5075 0.2503
18 F 0.5011 0.9925 0.2503
19 F 0.5497 0.2500 0.5056
20 F 0.5517 0.2500 0.0199
21 F 0.7822 0.5364 0.5722
22 F 0.7817 0.5378 0.0691
23 F 0.7817 0.9622 0.0691
24 F 0.7822 0.9636 0.5722

Values from the calculation:
**VASP energy**: -5.428 eV per atom
**Raw formation energy**: -77.81 kcal/mol of atoms
**Magnetization**: 0.000 μB per cell